Computed, not measured: a relaxed structure of Co3Tc2 at the PBE level of DFT.

Cell: 10.5426 10.5426 10.5426 Å, 14.31 14.31 14.31°
Closest atoms and distances in Å follow each position.
Fractional positions:
Co 0.1983 0.1983 0.1983  9 Co 2.49-2.63, 3 Tc 2.60
Co 0.8017 0.8017 0.8017  9 Co 2.49-2.63, 3 Tc 2.60
Co 0.0000 0.0000 0.0000  6 Tc 2.60, 6 Co 2.63
Tc 0.4007 0.4007 0.4007  6 Co 2.60, 6 Tc 2.63
Tc 0.5993 0.5993 0.5993  6 Co 2.60, 6 Tc 2.63

Computed properties:
VASP energy (eV/atom): -8.24
Magnetization (μB per formula unit): 2.0
Fermi-level density of states (states/eV/cell): 7.12
Symmetry: R-3m
Energy of formation from the pure elements (meV/atom): 167



Computed, not measured: a relaxed structure of VPdI6 at the PBE level of DFT.

Cell: 7.5769 7.2990 7.8796 Å, 74.04 58.02 58.73°
Closest atoms and distances in Å follow each position.
Fractional positions:
I 0.4093 0.0000 0.7780  1 V 2.63
I 0.8651 0.2988 0.2560  1 Pd 2.64, 1 V 2.79
I 0.8361 0.2988 0.7440  1 Pd 2.64, 1 V 2.79
I 0.5907 0.0000 0.2220  1 V 2.63
I 0.1639 0.7012 0.2560  1 Pd 2.64, 1 V 2.79
I 0.1349 0.7012 0.7440  1 Pd 2.64, 1 V 2.79
V 0.0000 0.0000 0.0000  6 I 2.63-2.79
Pd 0.0000 0.0000 0.5000  4 I 2.64

Computed properties:
Uncorrected formation energy (eV/atom): -0.2691
VASP energy (eV/atom): -3.22
Magnetization (μB per formula unit): 1.0
Fermi-level density of states (states/eV/cell): 5.36
Symmetry: C2/m



Computed, not measured: a relaxed structure of Tb3Ho7In2 at the PBE level of DFT.

Cell: 6.5407 6.5407 11.0622 Å, 72.80 72.80 60.00°
Closest atoms and distances in Å follow each position.
Fractional positions:
Tb 0.0000 0.0000 0.0000  6 In 3.78, 12 Ho 4.13
Tb 0.8566 0.8566 0.4301  12 Ho 3.81-3.89, 3 Tb 4.05
Tb 0.1434 0.1434 0.5699  12 Ho 3.81-3.89, 3 Tb 4.05
Ho 0.5817 0.0793 0.7574  2 In 3.15, 5 Ho 3.26-3.29
Ho 0.4183 0.9207 0.2426  2 In 3.15, 5 Ho 3.26-3.29
Ho 0.0793 0.5817 0.7574  2 In 3.15, 5 Ho 3.26-3.29
Ho 0.9207 0.4183 0.2426  2 In 3.15, 5 Ho 3.26-3.29
Ho 0.4183 0.4183 0.2426  2 In 3.15, 5 Ho 3.26-3.29
Ho 0.5817 0.5817 0.7574  2 In 3.15, 5 Ho 3.26-3.29
Ho 0.5000 0.5000 0.5000  6 Ho 3.28
In 0.6663 0.6663 0.0011  6 Ho 3.15
In 0.3337 0.3337 0.9989  6 Ho 3.15

Computed properties:
VASP energy (eV/atom): -4.18
Magnetization (μB per formula unit): 0.0
Fermi-level density of states (states/eV/cell): 22.29
Symmetry: R-3m
Energy of formation from the pure elements (meV/atom): 105



Computed, not measured: a relaxed structure of MgBiIN2 at the PBE level of DFT.

Cell: 4.3789 4.3789 6.9037 Å, 90.00 90.00 90.00°
Closest atoms and distances in Å follow each position.
Fractional positions:
N 0.0000 0.5000 0.0000  2 Bi 2.19
N 0.5000 0.0000 0.0000  2 Bi 2.19
I 0.0000 0.0000 0.5000  4 Mg 3.10, 2 Bi 3.45
Mg 0.5000 0.5000 0.5000  4 I 3.10
Bi 0.0000 0.0000 0.0000  4 N 2.19

Computed properties:
Uncorrected formation energy (eV/atom): 1.2362
VASP energy (eV/atom): -3.50
Magnetization (μB per formula unit): 1.5
Fermi-level density of states (states/eV/cell): 2.28
Symmetry: P4/mmm



Computed, not measured: a relaxed structure of TlHgW2 at the PBE level of DFT.

Cell: 4.9611 2.9487 5.2750 Å, 87.74 90.00 90.00°
Closest atoms and distances in Å follow each position.
Fractional positions:
Tl 0.5000 0.7500 0.7500  4 W 2.92, 2 Tl 2.95, 4 Hg 2.97-3.07
Hg 0.5000 0.2500 0.2500  4 W 2.93, 2 Hg 2.95, 4 Tl 2.97-3.07
W 0.0000 0.5627 0.4817  3 W 2.64-2.95, 2 Tl 2.92, 2 Hg 2.93
W 0.0000 0.9373 0.0183  3 W 2.64-2.95, 2 Tl 2.92, 2 Hg 2.93

Computed properties:
VASP energy (eV/atom): -6.16
Magnetization (μB per formula unit): 0.0
Fermi-level density of states (states/eV/cell): 2.01
Symmetry: P2/m
Energy of formation from the pure elements (meV/atom): 985



Computed, not measured: a relaxed structure of Dy6Tc2Au at the PBE level of DFT.

Cell: 8.4121 8.4121 8.4121 Å, 106.28 111.35 110.83°
Closest atoms and distances in Å follow each position.
Fractional positions:
Dy 0.7964 0.7675 0.5638  1 Tc 2.82, 1 Au 3.04
Dy 0.5334 0.7197 0.8137  3 Tc 2.99-3.19, 1 Au 3.21
Dy 0.2036 0.7675 0.9711  1 Tc 2.82, 1 Au 3.04
Dy 0.7964 0.2325 0.0289  1 Tc 2.82, 1 Au 3.04
Dy 0.2912 0.9725 0.6814  3 Tc 2.84-2.98
Dy 0.7088 0.0275 0.3186  3 Tc 2.84-2.98
Dy 0.2912 0.6098 0.3186  3 Tc 2.84-2.98
Dy 0.9059 0.7197 0.1863  3 Tc 2.99-3.19, 1 Au 3.21
Dy 0.7088 0.3902 0.6814  3 Tc 2.84-2.98
Dy 0.2036 0.2325 0.4362  1 Tc 2.82, 1 Au 3.04
Dy 0.4666 0.2803 0.1863  3 Tc 2.99-3.19, 1 Au 3.21
Dy 0.0941 0.2803 0.8137  3 Tc 2.99-3.19, 1 Au 3.21
Tc 0.3694 0.0000 0.3694  1 Tc 2.48
Tc 0.6306 0.0000 0.6306  1 Tc 2.48
Tc 0.5000 0.6187 0.1187  1 Tc 2.40
Tc 0.5000 0.3813 0.8813  1 Tc 2.40
Au 0.0000 0.5000 0.5000  12 Dy 3.32-3.64
Au 0.0000 0.0000 0.0000  8 Dy 3.04-3.21

Computed properties:
VASP energy (eV/atom): -5.97
Magnetization (μB per formula unit): 0.0
Fermi-level density of states (states/eV/cell): 18.61
Symmetry: Immm
Energy of formation from the pure elements (meV/atom): -233



Computed, not measured: a relaxed structure of MgGeRuPt at the PBE level of DFT.

Cell: 4.3677 4.3677 4.3677 Å, 60.00 60.00 60.00°
Closest atoms and distances in Å follow each position.
Fractional positions:
Ge 0.0000 0.0000 0.0000  4 Ru 2.67, 4 Pt 2.67
Pt 0.2500 0.2500 0.2500  4 Ge 2.67, 4 Mg 2.67
Ru 0.7500 0.7500 0.7500  4 Mg 2.67, 4 Ge 2.67
Mg 0.5000 0.5000 0.5000  4 Pt 2.67, 4 Ru 2.67

Computed properties:
VASP energy (eV/atom): -5.79
Magnetization (μB per formula unit): 0.0
Fermi-level density of states (states/eV/cell): 1.11
Symmetry: F-43m
Energy of formation from the pure elements (meV/atom): -403



Computed, not measured: a relaxed structure of LiIn5Pd3 at the PBE level of DFT.

Cell: 6.5610 6.5610 9.6758 Å, 83.32 83.32 82.71°
Closest atoms and distances in Å follow each position.
Fractional positions:
In 0.0073 0.6121 0.6380  4 Pd 2.71-2.96, 1 Li 2.96
In 0.2571 0.2571 0.8741  3 Pd 2.63-2.77, 1 Li 2.86
In 0.7429 0.7429 0.1259  3 Pd 2.63-2.77, 1 Li 2.86
In 0.3074 0.6926 0.0000  3 Pd 2.67-2.82
In 0.6121 0.0073 0.6380  4 Pd 2.71-2.96, 1 Li 2.96
In 0.3879 0.9927 0.3620  4 Pd 2.71-2.96, 1 Li 2.96
In 0.5295 0.5295 0.6596  3 Pd 2.75-2.84
In 0.6926 0.3074 0.0000  3 Pd 2.67-2.82
In 0.9927 0.3879 0.3620  4 Pd 2.71-2.96, 1 Li 2.96
In 0.4705 0.4705 0.3404  3 Pd 2.75-2.84
Pd 0.2703 0.2703 0.5861  7 In 2.71-2.96, 1 Li 2.78, 1 Pd 2.91
Pd 0.7297 0.7297 0.4139  7 In 2.71-2.96, 1 Li 2.78, 1 Pd 2.91
Pd 0.7044 0.7044 0.8547  6 In 2.71-2.82
Pd 0.0000 0.0000 0.5000  2 Li 2.44
Pd 0.0000 0.0000 0.0000  2 Li 2.41, 4 In 2.63-2.67
Pd 0.2956 0.2956 0.1453  6 In 2.71-2.82
Li 0.0120 0.0120 0.7497  2 Pd 2.41-2.44
Li 0.9880 0.9880 0.2503  2 Pd 2.41-2.44

Computed properties:
VASP energy (eV/atom): -3.72
Magnetization (μB per formula unit): 0.0
Fermi-level density of states (states/eV/cell): 6.64
Symmetry: C2/m
Energy of formation from the pure elements (meV/atom): -258



Computed, not measured: a relaxed structure of PrYLuSc at the PBE level of DFT.

Cell: 5.5717 5.5717 5.5717 Å, 60.00 60.00 60.00°
Closest atoms and distances in Å follow each position.
Fractional positions:
Sc 0.0000 0.0000 0.0000  4 Pr 3.41, 4 Y 3.41
Pr 0.2500 0.2500 0.2500  4 Sc 3.41, 4 Lu 3.41
Lu 0.5000 0.5000 0.5000  4 Y 3.41, 4 Pr 3.41
Y 0.7500 0.7500 0.7500  4 Lu 3.41, 4 Sc 3.41

Computed properties:
VASP energy (eV/atom): -5.43
Magnetization (μB per formula unit): 0.0
Fermi-level density of states (states/eV/cell): 5.00
Symmetry: F-43m
Energy of formation from the pure elements (meV/atom): 91



Computed, not measured: a relaxed structure of SnC2Cl at the PBE level of DFT.

Cell: 4.8191 4.8191 6.7640 Å, 69.13 69.13 90.00°
Closest atoms and distances in Å follow each position.
Fractional positions:
Cl 0.5000 0.5000 0.0000  4 C 2.25
Cl 0.2500 0.7500 0.5000  4 C 2.25
C 0.1216 0.6250 0.2500  2 Sn 2.24, 2 Cl 2.25
C 0.3750 0.3716 0.7500  2 Sn 2.24, 2 Cl 2.25
C 0.8750 0.8784 0.7500  2 Sn 2.24, 2 Cl 2.25
C 0.6284 0.1250 0.2500  2 Sn 2.24, 2 Cl 2.25
Sn 0.0000 0.0000 0.0000  4 C 2.24
Sn 0.7500 0.2500 0.5000  4 C 2.24

Computed properties:
Uncorrected formation energy (eV/atom): 2.0836
VASP energy (eV/atom): -3.99
Magnetization (μB per formula unit): 0.0
Fermi-level density of states (states/eV/cell): 2.21
Symmetry: I-42d



Computed, not measured: a relaxed structure of Tb5AgBi4 at the PBE level of DFT.

Cell: 6.2999 7.7199 7.7199 Å, 80.42 65.92 65.92°
Closest atoms and distances in Å follow each position.
Fractional positions:
Tb 0.5018 0.0000 0.0000  4 Bi 3.15, 2 Ag 3.15
Tb 0.8973 0.4053 0.8020  5 Bi 3.11-3.19, 1 Ag 3.18
Tb 0.3025 0.8020 0.5947  5 Bi 3.11-3.19, 1 Ag 3.18
Tb 0.6992 0.1980 0.4053  5 Bi 3.11-3.19, 1 Ag 3.18
Tb 0.1045 0.5947 0.1980  5 Bi 3.11-3.19, 1 Ag 3.18
Bi 0.8006 0.7990 0.6015  6 Tb 3.11-3.19
Bi 0.5996 0.6015 0.2010  6 Tb 3.11-3.19
Bi 0.4021 0.3985 0.7990  6 Tb 3.11-3.19
Bi 0.2011 0.2010 0.3985  6 Tb 3.11-3.19
Ag 0.0016 0.0000 0.0000  6 Tb 3.15-3.18

Computed properties:
VASP energy (eV/atom): -4.82
Magnetization (μB per formula unit): 0.0
Fermi-level density of states (states/eV/cell): 6.95
Symmetry: I4/m
Energy of formation from the pure elements (meV/atom): -665



Computed, not measured: a relaxed structure of CoRe2W at the PBE level of DFT.

Cell: 3.7884 3.7884 9.1818 Å, 78.09 78.09 90.00°
Closest atoms and distances in Å follow each position.
Fractional positions:
Re 0.3750 0.4147 0.7500  2 Re 2.48, 2 Co 2.52, 2 W 2.63
Re 0.8750 0.8353 0.7500  2 Re 2.48, 2 Co 2.52, 2 W 2.63
Re 0.5853 0.1250 0.2500  2 Re 2.48, 2 Co 2.52, 2 W 2.63
Re 0.1647 0.6250 0.2500  2 Re 2.48, 2 Co 2.52, 2 W 2.63
W 0.0000 0.0000 0.0000  4 Re 2.63, 4 Co 2.68
W 0.7500 0.2500 0.5000  4 Re 2.63, 4 Co 2.68
Co 0.2500 0.7500 0.5000  4 Re 2.52, 4 W 2.68
Co 0.5000 0.5000 0.0000  4 Re 2.52, 4 W 2.68

Computed properties:
VASP energy (eV/atom): -10.40
Magnetization (μB per formula unit): 0.0
Fermi-level density of states (states/eV/cell): 10.34
Symmetry: I-42d
Energy of formation from the pure elements (meV/atom): 839



- Number 11 is which compound?
  Tb5AgBi4



- Which of these has the lowest VASP energy?
  CoRe2W